w | ZrReOs2 | Alexandria via LeMat-Bulk | GGA-PBE | relaxed; SG = No. 160; D(E_F) = 1.278 states/eV per atom; total magnetization = 0.00 μB per formula unit
1.0
1.399 0.808 9.513
-1.399 0.808 9.513
0.000 -1.616 9.513
Zr Re Os
1 1 2
direct
0.000 0.000 0.000
0.759 0.759 0.759
0.244 0.244 0.244
0.501 0.501 0.501

x | ZrReOs2 | Alexandria via LeMat-Bulk | GGA-PBE | relaxed; SG = No. 47; D(E_F) = 1.188 states/eV per atom; total magnetization = 0.02 μB per formula unit
1.0
3.110 0.000 0.000
0.000 4.494 0.000
0.000 0.000 4.617
Zr Re Os
1 1 2
direct
0.000 0.000 0.000
0.500 0.000 0.500
0.000 0.500 0.500
0.500 0.500 0.000

Most stable = x

w | ZrReOs2 | Alexandria via LeMat-Bulk | GGA-PBE | relaxed; SG = No. 99; D(E_F) = 1.263 states/eV per atom; total magnetization = 0.00 μB per formula unit
1.0
3.253 0.000 0.000
0.000 3.253 0.000
0.000 0.000 6.306
Zr Re Os
1 1 2
direct
0.000 0.000 0.000
0.500 0.500 0.701
0.000 0.000 0.512
0.500 0.500 0.249

x | ZrReOs2 | Alexandria via LeMat-Bulk | GGA-PBE | relaxed; SG = No. 8; D(E_F) = 0.904 states/eV per atom; total magnetization = 0.00 μB per formula unit
1.0
4.817 -1.453 0.000
4.817 1.453 0.000
-0.937 0.000 4.677
Zr Re Os
1 1 2
direct
0.000 0.000 0.000
0.227 0.227 0.694
0.493 0.493 0.501
0.764 0.764 0.245

Most stable = x

w | ZrReOs2 | Alexandria via LeMat-Bulk | GGA-PBE | relaxed; SG = No. 71; D(E_F) = 0.813 states/eV per atom; total magnetization = 0.00 μB per formula unit
1.0
-1.484 2.311 4.768
1.484 -2.311 4.768
1.484 2.311 -4.768
Zr Re Os
1 1 2
direct
0.000 0.000 0.000
0.500 0.500 0.000
0.274 0.774 0.500
0.726 0.226 0.500

x | ZrReOs2 | Alexandria via LeMat-Bulk | GGA-PBE | relaxed; SG = No. 6; D(E_F) = 0.743 states/eV per atom; total magnetization = 0.00 μB per formula unit
1.0
2.891 0.000 0.000
0.000 4.532 0.000
-0.738 0.000 4.956
Zr Re Os
1 1 2
direct
0.000 0.000 0.000
0.213 0.500 0.639
0.556 0.500 0.163
0.620 0.000 0.491

Most stable = x

w | ZrRe2Os | Alexandria via LeMat-Bulk | GGA-PBE | relaxed; SG = No. 123; D(E_F) = 0.950 states/eV per atom; total magnetization = 0.00 μB per formula unit
1.0
3.198 0.000 0.000
0.000 3.198 0.000
0.000 0.000 6.420
Zr Re Os
1 2 1
direct
0.000 0.000 0.000
0.500 0.500 0.262
0.500 0.500 0.738
0.000 0.000 0.500

x | ZrRe2Os | Alexandria via LeMat-Bulk | GGA-PBE | relaxed; SG = No. 160; D(E_F) = 1.121 states/eV per atom; total magnetization = 0.00 μB per formula unit
1.0
1.408 0.813 9.474
-1.408 0.813 9.474
0.000 -1.626 9.474
Zr Re Os
1 2 1
direct
0.000 0.000 0.000
0.242 0.242 0.242
0.499 0.499 0.499
0.756 0.756 0.756

Most stable = x

w | Os2Rh3 | Alexandria via LeMat-Bulk | GGA-PBE | relaxed; SG = No. 164; D(E_F) = 1.641 states/eV per atom; total magnetization = 0.00 μB per formula unit
1.0
4.236 0.000 0.000
-2.118 3.668 0.000
0.000 0.000 5.225
Os Rh
2 3
direct
0.333 0.667 0.372
0.667 0.333 0.628
0.000 0.000 0.500
0.333 0.667 0.875
0.667 0.333 0.125

x | Os2Rh3 | Alexandria via LeMat-Bulk | GGA-PBE | relaxed; SG = No. 166; D(E_F) = 1.850 states/eV per atom; total magnetization = 0.00 μB per formula unit
1.0
2.175 1.256 4.444
-2.175 1.256 4.444
0.000 -2.511 4.444
Os Rh
2 3
direct
0.101 0.101 0.101
0.899 0.899 0.899
0.302 0.302 0.302
0.500 0.500 0.500
0.698 0.698 0.698

y | Os2Rh3 | Alexandria via LeMat-Bulk | GGA-PBE | relaxed; SG = No. 12; D(E_F) = 1.037 states/eV per atom; total magnetization = 0.00 μB per formula unit
1.0
6.487 -1.924 0.000
6.487 1.924 0.000
-3.600 0.000 6.254
Os Rh
4 6
direct
0.180 0.180 0.379
0.264 0.264 0.121
0.736 0.736 0.879
0.820 0.820 0.621
0.064 0.064 0.754
0.387 0.387 0.916
0.411 0.411 0.528
0.589 0.589 0.472
0.613 0.613 0.084
0.936 0.936 0.246

z | Os2Rh3 | Alexandria via LeMat-Bulk | GGA-PBE | relaxed; SG = No. 43; D(E_F) = 0.988 states/eV per atom; total magnetization = 0.00 μB per formula unit
1.0
0.000 6.737 2.362
4.544 0.000 2.362
4.544 6.737 0.000
Os Rh
4 6
direct
0.273 0.727 0.315
0.565 0.935 0.523
0.727 0.273 0.685
0.935 0.565 0.977
0.105 0.840 0.097
0.153 0.292 0.145
0.292 0.153 0.410
0.460 0.460 0.540
0.710 0.710 0.790
0.840 0.105 0.958

Most stable = z

w | OsRh5 | Alexandria via LeMat-Bulk | GGA-PBE | relaxed; SG = No. 38; D(E_F) = 1.097 states/eV per atom; total magnetization = 0.00 μB per formula unit
1.0
4.386 0.000 0.000
0.000 1.371 7.087
0.000 -1.371 7.087
Os Rh
1 5
direct
0.000 0.000 0.000
0.000 0.336 0.336
0.000 0.663 0.663
0.500 0.110 0.110
0.500 0.444 0.444
0.500 0.776 0.776

x | OsRh5 | Alexandria via LeMat-Bulk | GGA-PBE | relaxed; SG = No. 123; D(E_F) = 0.993 states/eV per atom; total magnetization = 0.00 μB per formula unit
1.0
2.716 0.000 0.000
0.000 2.716 0.000
0.000 0.000 11.548
Os Rh
1 5
direct
0.000 0.000 0.000
0.000 0.000 0.336
0.000 0.000 0.664
0.500 0.500 0.163
0.500 0.500 0.500
0.500 0.500 0.837

Most stable = x

w | Os2Rh | Alexandria via LeMat-Bulk | GGA-PBE | relaxed; SG = No. 194; D(E_F) = 1.314 states/eV per atom; total magnetization = 0.00 μB per formula unit
1.0
4.324 0.000 0.000
-2.162 3.745 0.000
0.000 0.000 5.387
Os Rh
4 2
direct
0.000 0.000 0.000
0.000 0.000 0.500
0.333 0.667 0.250
0.667 0.333 0.750
0.333 0.667 0.750
0.667 0.333 0.250

x | Os2Rh | Alexandria via LeMat-Bulk | GGA-PBE | relaxed; SG = No. 62; D(E_F) = 0.769 states/eV per atom; total magnetization = 0.00 μB per formula unit
1.0
5.429 0.000 0.000
0.000 3.850 0.000
0.000 0.000 8.225
Os Rh
8 4
direct
0.116 0.250 0.082
0.122 0.250 0.760
0.378 0.750 0.260
0.384 0.750 0.582
0.616 0.250 0.418
0.622 0.250 0.740
0.878 0.750 0.240
0.884 0.750 0.918
0.124 0.250 0.411
0.376 0.750 0.911
0.624 0.250 0.089
0.876 0.750 0.589

Most stable = x

w | Os2Rh | Alexandria via LeMat-Bulk | GGA-PBE | relaxed; SG = No. 141; D(E_F) = 1.071 states/eV per atom; total magnetization = 0.00 μB per formula unit
1.0
-1.356 1.356 12.107
1.356 -1.356 12.107
1.356 1.356 -12.107
Os Rh
4 2
direct
0.295 0.545 0.750
0.455 0.705 0.750
0.545 0.295 0.250
0.705 0.455 0.250
0.125 0.875 0.250
0.875 0.125 0.750

x | Os2Rh | Alexandria via LeMat-Bulk | GGA-PBE | relaxed; SG = No. 11; D(E_F) = 0.779 states/eV per atom; total magnetization = 0.00 μB per formula unit
1.0
2.755 0.000 0.000
0.000 4.346 0.000
-1.370 0.000 7.142
Os Rh
4 2
direct
0.053 0.250 0.108
0.391 0.250 0.781
0.609 0.750 0.219
0.947 0.750 0.892
0.277 0.750 0.556
0.723 0.250 0.444

y | Os2Rh | Alexandria via LeMat-Bulk | GGA-PBE | relaxed; SG = No. 8; D(E_F) = 0.884 states/eV per atom; total magnetization = 0.00 μB per formula unit
1.0
4.974 -1.372 0.000
4.974 1.372 0.000
-1.564 0.000 6.264
Os Rh
4 2
direct
0.000 0.000 0.000
0.055 0.055 0.613
0.335 0.335 0.666
0.663 0.663 0.335
0.389 0.389 0.282
0.720 0.720 0.941

z | Os2Rh | Alexandria via LeMat-Bulk | GGA-PBE | relaxed; SG = No. 12; D(E_F) = 0.731 states/eV per atom; total magnetization = 0.00 μB per formula unit
1.0
4.964 -1.373 0.000
4.964 1.373 0.000
-1.541 0.000 6.274
Os Rh
4 2
direct
0.029 0.029 0.300
0.363 0.363 0.976
0.637 0.637 0.024
0.971 0.971 0.700
0.308 0.308 0.361
0.692 0.692 0.639

Most stable = x

w | Os2Rh | Alexandria via LeMat-Bulk | GGA-PBE | relaxed; SG = No. 63; D(E_F) = 0.861 states/eV per atom; total magnetization = 0.00 μB per formula unit
1.0
1.936 -5.724 0.000
1.936 5.724 0.000
0.000 0.000 3.862
Os Rh
4 2
direct
0.087 0.913 0.750
0.252 0.748 0.250
0.748 0.252 0.750
0.913 0.087 0.250
0.416 0.584 0.750
0.584 0.416 0.250

x | Os2Rh | Alexandria via LeMat-Bulk | GGA-PBE | relaxed; SG = No. 63; D(E_F) = 0.736 states/eV per atom; total magnetization = 0.00 μB per formula unit
1.0
1.376 -7.128 0.000
1.376 7.128 0.000
0.000 0.000 4.354
Os Rh
4 2
direct
0.057 0.943 0.750
0.281 0.719 0.250
0.719 0.281 0.750
0.943 0.057 0.250
0.390 0.610 0.750
0.610 0.390 0.250

y | Os2Rh | Alexandria via LeMat-Bulk | GGA-PBE | relaxed; SG = No. 74; D(E_F) = 1.053 states/eV per atom; total magnetization = 0.00 μB per formula unit
1.0
-1.349 2.019 8.697
1.349 -2.019 8.697
1.349 2.019 -8.697
Os Rh
4 2
direct
0.289 0.039 0.250
0.439 0.189 0.250
0.561 0.811 0.750
0.711 0.961 0.750
0.125 0.375 0.750
0.875 0.625 0.250

Most stable = x

w | Os2Rh | Alexandria via LeMat-Bulk | GGA-PBE | relaxed; SG = No. 140; D(E_F) = 1.069 states/eV per atom; total magnetization = 0.00 μB per formula unit
1.0
-3.032 3.032 2.475
3.032 -3.032 2.475
3.032 3.032 -2.475
Os Rh
4 2
direct
0.138 0.638 0.777
0.362 0.138 0.500
0.638 0.862 0.500
0.862 0.362 0.223
0.250 0.250 0.000
0.750 0.750 0.000

x | Os2Rh | Alexandria via LeMat-Bulk | GGA-PBE | relaxed; SG = No. 164; D(E_F) = 1.014 states/eV per atom; total magnetization = 0.00 μB per formula unit
1.0
3.494 0.000 0.000
-1.747 3.026 0.000
0.000 0.000 4.886
Os Rh
2 1
direct
0.333 0.667 0.371
0.667 0.333 0.629
0.000 0.000 0.000

Most stable = w

w | Os4Rh3 | Alexandria via LeMat-Bulk | GGA-PBE | relaxed; SG = No. 139; D(E_F) = 1.445 states/eV per atom; total magnetization = 1.49 μB per formula unit
1.0
-1.641 1.641 9.530
1.641 -1.641 9.530
1.641 1.641 -9.530
Os Rh
4 3
direct
0.071 0.071 0.000
0.358 0.358 0.000
0.642 0.642 0.000
0.929 0.929 0.000
0.215 0.215 0.000
0.500 0.500 0.000
0.785 0.785 0.000

x | Os4Rh3 | Alexandria via LeMat-Bulk | GGA-PBE | relaxed; SG = No. 191; D(E_F) = 1.073 states/eV per atom; total magnetization = 0.00 μB per formula unit
1.0
4.944 0.000 0.000
-2.472 4.281 0.000
0.000 0.000 4.876
Os Rh
4 3
direct
0.000 0.000 0.243
0.000 0.000 0.757
0.333 0.667 0.000
0.667 0.333 0.000
0.000 0.500 0.500
0.500 0.000 0.500
0.500 0.500 0.500

Most stable = w